A relaxed structure of RbVF3. Source: the Alexandria database, functional PBE+U.

V ... 379.33 Å³/cell
Total magnetization ... 3.00 μB/f.u.
Total DFT energy (no corrections) ... -4.80 eV/atom

The structure in CIF format:
```
data_RbVF3
_chemical_formula_sum 'Rb4 V4 F12'
_cell_length_a 4.795
_cell_length_b 14.911
_cell_length_c 5.306
_cell_angle_alpha 90.00
_cell_angle_beta 90.00
_cell_angle_gamma 90.00
_symmetry_space_group_name_H-M 'C m c m'
_symmetry_Int_Tables_number 63
_symmetry_space_group_name_Hall '-C 2c 2'
loop_
_atom_site_label
_atom_site_type_symbol
_atom_site_fract_x
_atom_site_fract_y
_atom_site_fract_z
Rb1 Rb 0.000 0.166 0.250
V1 V 0.000 0.438 0.250
F1 F 0.000 0.000 0.000
F2 F 0.248 0.158 0.750
```